Record 1
## NiN3Cl (GGA-PBE)

Data for NiN3Cl after structural relaxation.

## Properties
Crystal system: cubic

Lattice parameters (Å, degrees): 3.667 3.667 3.667 90.00 90.00 90.00
Positions (direct):
Ni1 0.000 0.000 0.000
N1 0.000 0.500 0.500
N2 0.500 0.000 0.500
N3 0.500 0.500 0.000
Cl1 0.500 0.500 0.500

Record 2
## Ni2NCl (GGA-PBE)

Data for Ni2NCl after structural relaxation.

## Properties
Crystal system: tetragonal
Energy above the most stable polymorph in this dataset: 0.0 kJ per mole of atoms

Lattice parameters (Å, degrees): 5.601 5.601 5.601 126.77 126.77 78.63
Positions (direct):
Ni1 0.022 0.625 0.897
Ni2 0.375 0.272 0.397
Ni3 0.728 0.125 0.103
Ni4 0.875 0.978 0.603
N1 0.000 0.000 0.000
N2 0.750 0.250 0.500
Cl1 0.250 0.750 0.500
Cl2 0.500 0.500 0.000

Record 3
## NiNCl2 (GGA-PBE)

Data for NiNCl2 after structural relaxation.

## Properties
Crystal system: tetragonal
Energy above the most stable polymorph in this dataset: 161.2 kJ per mole of atoms

Lattice parameters (Å, degrees): 6.961 6.961 6.961 140.63 140.63 56.90
Positions (direct):
Ni1 0.000 0.000 0.000
Ni2 0.750 0.250 0.500
N1 0.250 0.750 0.500
N2 0.500 0.500 0.000
Cl1 0.131 0.625 0.006
Cl2 0.375 0.381 0.506
Cl3 0.619 0.125 0.994
Cl4 0.875 0.869 0.494

Quick rundown of magnetization, same order as above: 0.41, 0.00, 0.25 μB/atom
Quick rundown of uncorrected energy, same order as above: -17.905, -43.021, -25.727 eV/cell
Quick rundown of formation energy (no corrections), same order as above: 2.940, 0.056, 1.234 eV/atom